(1)
Density functional theory data (PBE-GGA) for a relaxed LaSmCu2S4 crystal.

Cell and atoms, written as POSCAR:
```
LaSmCu2S4
1.0
-2.411 3.065 -5.315
-3.624 -2.741 -4.024
-5.544 2.467 -0.151
La Sm Cu S
1 1 2 4
Cartesian
0.000 0.000 0.000
-5.789 1.395 -4.746
-3.414 0.441 -2.285
-8.164 2.350 -7.206
-4.187 2.463 -2.769
-6.160 -1.237 -4.008
-4.569 1.722 -7.198
-8.241 2.633 -5.008
```

## Properties
- ΔE_f (raw) (meV per atom) = -1277.6
- electronic total energy (eV per atom) = -5.5711
- SG = No. 23

=====

(2)
Density functional theory data (PBE-GGA) for a relaxed Cr2SiAg crystal.

Cell and atoms, written as POSCAR:
```
Cr2SiAg
1.0
-6.660 0.876 -1.382
-0.687 -6.754 -0.971
-4.215 -3.232 1.246
Cr Si Ag
4 2 2
Cartesian
-5.085 -1.133 -0.629
-2.533 -4.891 -0.513
-5.939 -4.848 0.020
-9.567 -7.347 -1.093
-3.674 -2.939 -1.176
-4.288 -6.462 -0.451
0.000 0.000 0.000
-7.274 -2.647 -0.657
```

## Properties
- ΔE_f (raw) (meV per atom) = 700.0
- electronic total energy (eV per atom) = -6.1802
- SG = No. 122

=====

(3)
Density functional theory data (PBE-GGA) for a relaxed Pu2Pa2Pt5 crystal.

Cell and atoms, written as POSCAR:
```
Pu2Pa2Pt5
1.0
7.630 0.000 0.000
0.000 6.786 -3.488
0.000 -0.247 7.865
Pu Pa Pt
4 4 10
Cartesian
0.000 1.310 2.547
3.815 4.703 0.803
0.000 5.230 1.829
3.815 1.837 3.573
4.859 5.839 -3.001
2.771 0.947 -0.487
1.044 4.340 -2.231
6.586 2.446 -1.257
0.000 0.000 0.000
3.815 3.393 -1.744
6.280 5.439 -0.662
1.350 3.082 0.549
2.465 6.475 -1.195
5.165 2.046 1.082
1.350 1.100 5.039
6.280 3.457 3.827
5.165 0.064 5.571
2.465 4.493 3.294
```

## Properties
- electronic total energy (eV per atom) = -9.4271
- SG = No. 64
- formation energy (eV per atom) = -0.776

=====

(4)
Density functional theory data (PBE-GGA) for a relaxed Rh2PbAu2 crystal.

Cell and atoms, written as POSCAR:
```
Rh2PbAu2
1.0
-0.932 5.539 5.436
-6.676 2.219 -3.406
-1.552 -1.980 1.751
Pb Rh Au
2 4 4
Cartesian
0.000 0.000 0.000
-3.804 3.879 1.015
-5.296 1.325 -0.512
-7.026 4.515 1.561
-3.864 4.454 4.293
-2.134 1.264 2.220
-6.074 3.900 -0.973
-5.077 6.183 2.491
-1.534 3.859 3.003
-2.532 1.576 -0.462
```

## Properties
- electronic total energy (eV per atom) = -4.6920
- relative energy among the computed polymorphs (meV/atom) = 170
- SG = No. 127
- formation energy (eV per atom) = 0.301